# 1
# BaSr14La, relaxed, DFT PBE
data_BaSr14La
_space_group_name_H-M_alt 'A m m 2'
_space_group_IT_number 38
_cell_length_a 11.8077
_cell_length_b 12.0487
_cell_length_c 12.0433
_cell_angle_alpha 90.00
_cell_angle_beta 90.00
_cell_angle_gamma 90.00
loop_
_space_group_symop_operation_xyz
'x,y,z'
'-x,-y,z'
'-x,y,z'
'x,-y,z'
'x,y+1/2,z+1/2'
'-x,-y+1/2,z+1/2'
'-x,y+1/2,z+1/2'
'x,-y+1/2,z+1/2'
loop_
_atom_site_label
_atom_site_type_symbol
_atom_site_fract_x
_atom_site_fract_y
_atom_site_fract_z
Ba1 Ba 0.0000 0.0000 0.0000
Sr1 Sr 0.0000 0.2499 0.2501
Sr2 Sr 0.2468 0.0000 0.2556
Sr3 Sr 0.2470 0.0000 0.7449
Sr4 Sr 0.2469 0.2450 0.5003
Sr5 Sr 0.5000 0.0000 0.0001
Sr6 Sr 0.5000 0.0000 0.5005
Sr7 Sr 0.5000 0.2498 0.2503
La1 La 0.0000 0.0000 0.5001
# calculated formation energy: 44 meV/atom
# raw total energy: -1.856 eV/atom

=====

# 2
# BaSr2La, relaxed, DFT PBE
data_BaSr2La
_space_group_name_H-M_alt 'R 3 m'
_space_group_IT_number 160
_space_group_name_Hall 'R 3 -2"'
_cell_length_a 4.1096
_cell_length_b 4.1096
_cell_length_c 41.1410
_cell_angle_alpha 90.00
_cell_angle_beta 90.00
_cell_angle_gamma 120.00
loop_
_atom_site_label
_atom_site_type_symbol
_atom_site_fract_x
_atom_site_fract_y
_atom_site_fract_z
Ba1 Ba 0.0000 0.0000 0.0000
Sr1 Sr 0.0000 0.0000 0.5787
Sr2 Sr 0.0000 0.0000 0.7546
La1 La 0.0000 0.0000 0.1667
# calculated formation energy: 110 meV/atom
# raw total energy: -2.443 eV/atom
# distance to the lowest polymorph of the same formula: 3 meV/atom